Density functional theory data (PBE) for crystalline Y8PtSe3S4 at its relaxed geometry.

Results
- N(E_F): 0.387 states/eV per atom
- Formation energy without anion corrections: -1.818 eV per atom

a = 8.0280 Å, b = 8.0280 Å, c = 19.6925 Å
α = 90.00°, β = 90.00°, γ = 120.00°
Space group R-3m (No. 166, hexagonal axes)
Inequivalent atoms, fractional coordinates:
Y 0.0000 0.0000 0.2432 (multiplicity 6)
Y 0.0094 0.5047 0.7529 (multiplicity 18)
Pt 0.0000 0.0000 0.0000 (multiplicity 3)
Se 0.0000 0.5000 0.0000 (multiplicity 9)
S 0.0000 0.0000 0.5000 (multiplicity 3)
S 0.0000 0.5000 0.5000 (multiplicity 9)